This record from Alexandria via LeMat-Bulk describes crystalline V3Pd8 at its relaxed geometry. The functional is PBE.

## Properties
formation energy from the elements: 3.06 eV/f.u.
VASP energy: -0.220 Ha/atom
space group: No. 148

Cell: 5.6742 5.6742 5.6742 Å, 90.91 90.91 90.91°
Positions (direct):
Pd (0.6342, 0.6342, 0.6342)
Pd (0.1069, 0.6780, 0.8790)
Pd (0.6780, 0.8790, 0.1069)
Pd (0.3658, 0.3658, 0.3658)
Pd (0.1210, 0.8931, 0.3220)
Pd (0.3220, 0.1210, 0.8931)
Pd (0.8931, 0.3220, 0.1210)
Pd (0.8790, 0.1069, 0.6780)
V (0.0000, 0.5000, 0.5000)
V (0.5000, 0.0000, 0.5000)
V (0.5000, 0.5000, 0.0000)